(1)
The following is a GGA+U calculation of a relaxed CsAcFeO3 crystal, from Alexandria.

Cell and atoms, written as POSCAR:
```
CsAcFeO3
1.0
8.4169 0.0000 0.0000
0.0000 3.9583 0.0000
-2.3527 0.0000 8.7237
Cs Ac Fe O
2 2 2 6
direct
0.1821 0.2500 0.1884
0.8179 0.7500 0.8116
0.3470 0.7500 0.8442
0.6530 0.2500 0.1558
0.0603 0.2500 0.6211
0.9397 0.7500 0.3789
0.1100 0.7500 0.5847
0.1533 0.2500 0.8447
0.4554 0.7500 0.1227
0.5446 0.2500 0.8773
0.8467 0.7500 0.1553
0.8900 0.2500 0.4153
```

Output
Symmetry: P2_1/m (11)

***

(2)
The following is a GGA+U calculation of a relaxed Cs2AcFe2O7 crystal, from Alexandria.

Cell and atoms, written as POSCAR:
```
Cs2AcFe2O7
1.0
-2.0232 2.0232 11.7896
2.0232 -2.0232 11.7896
2.0232 2.0232 -11.7896
Cs Ac Fe O
2 1 2 7
direct
0.1834 0.1834 0.0000
0.8166 0.8166 0.0000
0.0000 0.0000 0.0000
0.4149 0.4149 0.0000
0.5851 0.5851 0.0000
0.0749 0.5749 0.5000
0.3403 0.3403 0.0000
0.4251 0.9251 0.5000
0.5000 0.5000 0.0000
0.5749 0.0749 0.5000
0.6597 0.6597 0.0000
0.9251 0.4251 0.5000
```

Output
Symmetry: I4/mmm (139)

***

Short version: total DFT energy (no corrections) = -76.3; -71.2 eV/cell, in the order given.
Short version: total magnetic moment = 0.66; 0.60 μB per atom, in the order given.